[1]
Compound: La2MgTe
Source: Alexandria
Functional: SCAN
Structure: single point on PBEsol structure

Results
Total DFT energy (no corrections) in eV/atom: -32.849
Space-group type: P4mm
Formation energy from raw total energies in meV per atom: -740
DOS at the Fermi energy in states/eV per atom: 0.57
Magnetic moment in μB/f.u.: 0.0
Offset from the most stable computed form in meV/atom: 0

Cell lengths 4.540, 4.540, 6.458 Å; angles 90.00, 90.00, 90.00 degrees
Fractional positions:
Te1 0.500 0.500 0.874
Mg1 0.000 0.000 0.376
La1 0.000 0.000 0.876
La2 0.500 0.500 0.374

[2]
Compound: La2MgTe
Source: Alexandria
Functional: SCAN
Structure: single point on PBEsol structure

Results
Total DFT energy (no corrections) in eV/atom: -32.795
Space-group type: Imm2
Formation energy from raw total energies in meV per atom: -686
DOS at the Fermi energy in states/eV per atom: 0.87
Magnetic moment in μB/f.u.: 0.0
Offset from the most stable computed form in meV/atom: 54

Cell lengths 4.020, 5.242, 6.410 Å; angles 114.14, 108.27, 90.00 degrees
Fractional positions:
La1 0.015 0.015 0.030
Te1 0.760 0.260 0.520
Mg1 0.476 0.476 0.951
La2 0.249 0.749 0.499

[3]
Compound: LaMgTl2
Source: Alexandria
Functional: SCAN
Structure: single point on PBEsol structure

Results
Total DFT energy (no corrections) in eV/atom: -48.715
Calculated formation energy in meV per atom: -516
Space-group type: R-3m
DOS at the Fermi energy in states/eV per atom: 0.39
Magnetic moment in μB/f.u.: 0.0
Offset from the most stable computed form in meV/atom: 0

Cell lengths 4.848, 4.853, 6.053 Å; angles 113.60, 90.00, 119.96 degrees
Fractional positions:
La1 0.500 0.000 0.000
Tl1 0.272 0.543 0.314
Mg1 0.000 0.000 0.500
Tl2 0.728 0.457 0.686

[4]
Compound: LaMgTl
Source: Alexandria
Functional: SCAN
Structure: single point on PBEsol structure

Results
Total DFT energy (no corrections) in eV/atom: -40.751
Calculated formation energy in meV per atom: -605
Space-group type: P-62m
DOS at the Fermi energy in states/eV per atom: 0.08
Magnetic moment in μB/f.u.: 0.0

Cell lengths 4.782, 7.750, 7.750 Å; angles 120.00, 90.00, 90.00 degrees
Fractional positions:
Tl1 0.000 0.000 0.000
Mg1 0.500 0.757 0.000
La1 0.000 0.000 0.426
Tl2 0.500 0.333 0.667
La2 0.000 0.426 0.000
Tl3 0.500 0.667 0.333
La3 0.000 0.574 0.574
Mg2 0.500 0.000 0.757
Mg3 0.500 0.243 0.243

[5]
Compound: LaMgTl2
Source: Alexandria
Functional: SCAN
Structure: single point on PBEsol structure

Results
Total DFT energy (no corrections) in eV/atom: -48.687
Calculated formation energy in meV per atom: -488
Space-group type: I4/mmm
DOS at the Fermi energy in states/eV per atom: 0.46
Magnetic moment in μB/f.u.: 0.0
Offset from the most stable computed form in meV/atom: 28

Cell lengths 5.322, 5.320, 5.320 Å; angles 60.07, 59.99, 59.99 degrees
Fractional positions:
Tl1 0.750 0.250 0.250
Mg1 0.000 0.500 0.500
Tl2 0.250 0.750 0.750
La1 0.500 0.000 0.000

[6]
Compound: LaMgTl2
Source: Alexandria
Functional: SCAN
Structure: single point on PBEsol structure

Results
Total DFT energy (no corrections) in eV/atom: -48.533
Calculated formation energy in meV per atom: -334
Space-group type: I-4m2
DOS at the Fermi energy in states/eV per atom: 0.57
Magnetic moment in μB/f.u.: 0.0
Offset from the most stable computed form in meV/atom: 182

Cell lengths 4.742, 4.742, 5.892 Å; angles 113.73, 113.73, 90.00 degrees
Fractional positions:
Tl1 0.250 0.750 0.500
Tl2 0.000 0.000 0.000
La1 0.500 0.500 0.000
Mg1 0.750 0.250 0.500

[7]
Compound: LaMgTl2
Source: Alexandria
Functional: SCAN
Structure: single point on PBEsol structure

Results
Total DFT energy (no corrections) in eV/atom: -48.629
Calculated formation energy in meV per atom: -430
Space-group type: P4/mmm
DOS at the Fermi energy in states/eV per atom: 0.53
Magnetic moment in μB/f.u.: 0.6
Offset from the most stable computed form in meV/atom: 86

Cell lengths 3.669, 3.669, 7.737 Å; angles 90.00, 90.00, 90.00 degrees
Last column: magnetic moment on the atom in μB.
Fractional positions:
La1 0.500 0.500 0.000  -0.29
Tl1 0.000 0.000 0.282  -0.01
Tl2 0.000 0.000 0.718  -0.01
Mg1 0.500 0.500 0.500  0.00

[8]
Compound: LaMgTl
Source: Alexandria
Functional: SCAN
Structure: single point on PBEsol structure

Results
Total DFT energy (no corrections) in eV/atom: -40.094
Calculated formation energy in meV per atom: 52
Space-group type: F-43m
DOS at the Fermi energy in states/eV per atom: 0.48
Magnetic moment in μB/f.u.: 0.0

Cell lengths 5.197, 5.197, 5.197 Å; angles 60.00, 60.00, 60.00 degrees
Fractional positions:
Mg1 0.000 0.000 0.000
Tl1 0.500 0.500 0.500
La1 0.250 0.250 0.250